[1]
{
  "formula": "LiPW2",
  "functional": "PBE",
  "state": "optimized geometry",
  "energy_ev_per_atom": -7.942,
  "m_tot_mub_per_fu": 0.0,
  "volume_a3_per_cell": 56.2,
  "density_g_cm3": 12.0,
  "formation_enthalpy_0k_ev_per_fu": 1.5,
  "cell": [[2.7113, -3.9977, 0.0000], [2.7113, 3.9977, 0.0000], [-0.9056, 0.0000, 2.5912]],
  "species": ["Li", "P", "W", "W"],
  "frac_coords": [[0.0000, 0.0000, 0.0000], [0.5000, 0.5000, 0.0000], [0.0000, 0.5000, 0.5000], [0.5000, 0.0000, 0.5000]]
}

---

[2]
{
  "formula": "PmSm5Te4",
  "functional": "PBE",
  "state": "optimized geometry",
  "energy_ev_per_atom": -5.073,
  "raw_formation_energy_ev_per_atom": -0.9814,
  "m_tot_mub_per_fu": 0.0,
  "volume_a3_per_cell": 338.1,
  "density_g_cm3": 6.9,
  "cell": [[9.3232, -2.1521, 0.0000], [9.3232, 2.1521, 0.0000], [-1.8872, 0.0000, 8.4264]],
  "species": ["Pm", "Sm", "Sm", "Sm", "Sm", "Sm", "Te", "Te", "Te", "Te"],
  "frac_coords": [[0.0000, 0.0000, 0.0000], [0.0000, 0.0000, 0.5000], [0.3138, 0.3138, 0.6456], [0.3372, 0.3372, 0.1958], [0.6628, 0.6628, 0.8042], [0.6862, 0.6862, 0.3544], [0.1689, 0.1689, 0.0748], [0.4885, 0.4885, 0.7423], [0.5115, 0.5115, 0.2577], [0.8311, 0.8311, 0.9252]]
}

---

[3]
{
  "formula": "CeYCdGe",
  "functional": "PBE",
  "state": "optimized geometry",
  "energy_ev_per_atom": -4.913,
  "m_tot_mub_per_fu": 1.0,
  "volume_a3_per_cell": 100.1,
  "density_g_cm3": 6.9,
  "formation_enthalpy_0k_ev_per_fu": -1.7,
  "cell": [[0.0000, 3.6858, 3.6858], [3.6858, 0.0000, 3.6858], [3.6858, 3.6858, 0.0000]],
  "species": ["Ce", "Y", "Cd", "Ge"],
  "frac_coords": [[0.0000, 0.0000, 0.0000], [0.5000, 0.5000, 0.5000], [0.7500, 0.7500, 0.7500], [0.2500, 0.2500, 0.2500]]
}